A) Material: MoRuBr2
Method: DFT, PBEsol
State: relaxed

## Properties
magnetization	0.00	Bohr magnetons per cell

a = 4.4680 Å, b = 4.4680 Å, c = 4.4680 Å
α = 60.00°, β = 60.00°, γ = 60.00°
With the nearest neighbours (Å) after each atom.
Fractional coordinates of all 4 atoms:
Mo1 0.5000 0.5000 0.5000  8 Br 2.74
Ru1 0.0000 0.0000 0.0000  8 Br 2.74
Br1 0.7500 0.7500 0.7500  4 Mo 2.74, 4 Ru 2.74
Br2 0.2500 0.2500 0.2500  4 Mo 2.74, 4 Ru 2.74

B) Material: MoRuBr2
Method: DFT, PBEsol
State: relaxed

## Properties
magnetization	0.00	Bohr magnetons per cell

a = 3.0984 Å, b = 3.0984 Å, c = 8.6204 Å
α = 79.65°, β = 79.65°, γ = 60.00°
With the nearest neighbours (Å) after each atom.
Fractional coordinates of all 4 atoms:
Br1 0.9067 0.9067 0.2798  1 Ru 2.36, 3 Mo 2.58
Br2 0.0933 0.0933 0.7202  1 Ru 2.36, 3 Mo 2.58
Mo1 0.5000 0.5000 0.5000  6 Br 2.58
Ru1 0.0000 0.0000 0.0000  2 Br 2.36

Verdict on stability: A) comes out at the bottom.

A) Material: MoRuBr
Method: DFT, PBEsol
State: relaxed

## Properties
magnetization	0.00	Bohr magnetons per cell

a = 2.9488 Å, b = 2.9488 Å, c = 6.3213 Å
α = 90.00°, β = 90.00°, γ = 120.00°
With the nearest neighbours (Å) after each atom.
Fractional coordinates of all 3 atoms:
Br1 0.0000 0.0000 0.9855  3 Mo 2.66, 3 Ru 2.88, 6 Br 2.95
Mo1 0.6667 0.3333 0.6614  3 Ru 2.59, 3 Br 2.66
Ru1 0.3333 0.6667 0.3531  3 Mo 2.59, 3 Br 2.88

B) Material: MoRuBr
Method: DFT, PBEsol
State: relaxed

## Properties
magnetization	0.00	Bohr magnetons per cell

a = 2.9596 Å, b = 2.9596 Å, c = 5.7547 Å
α = 104.90°, β = 104.90°, γ = 90.00°
With the nearest neighbours (Å) after each atom.
Fractional coordinates of all 3 atoms:
Mo1 0.6739 0.6739 0.3478  4 Ru 2.61, 4 Br 2.75
Ru1 0.3193 0.3193 0.6387  4 Mo 2.61, 4 Br 2.90
Br1 0.0068 0.0068 0.0136  4 Mo 2.75, 4 Ru 2.90, 4 Br 2.96

Verdict on stability: A) comes out at the bottom.

A) Material: SbMoBr
Method: DFT, PBEsol
State: relaxed

## Properties
magnetization	0.00	Bohr magnetons per cell

a = 3.0749 Å, b = 3.2263 Å, c = 7.8888 Å
α = 84.67°, β = 78.76°, γ = 61.54°
With the nearest neighbours (Å) after each atom.
Fractional coordinates of all 3 atoms:
Br1 0.9687 0.0000 0.0626  2 Mo 2.50
Sb1 0.6904 0.0000 0.6192  2 Mo 2.79, 2 Sb 3.07
Mo1 0.3409 0.0000 0.3181  2 Br 2.50, 2 Sb 2.79

B) Material: SbMoBr
Method: DFT, PBEsol
State: relaxed

## Properties
magnetization	1.94	Bohr magnetons per cell

a = 4.6152 Å, b = 4.6152 Å, c = 4.6152 Å
α = 60.00°, β = 60.00°, γ = 60.00°
With the nearest neighbours (Å) after each atom.
Fractional coordinates of all 3 atoms:
Br1 0.2500 0.2500 0.2500  4 Sb 2.83, 4 Mo 2.83
Sb1 0.5000 0.5000 0.5000  4 Br 2.83
Mo1 0.0000 0.0000 0.0000  4 Br 2.83

Verdict on stability: B) comes out at the bottom.

A) Material: Mo2SeBr
Method: DFT, PBEsol
State: relaxed

## Properties
magnetization	0.00	Bohr magnetons per cell

a = 3.1381 Å, b = 4.4297 Å, c = 4.4297 Å
α = 90.00°, β = 90.00°, γ = 90.00°
With the nearest neighbours (Å) after each atom.
Fractional coordinates of all 4 atoms:
Mo1 0.0000 0.0000 0.5000  4 Se 2.71, 4 Br 2.71
Mo2 0.0000 0.5000 0.0000  4 Se 2.71, 4 Br 2.71
Se1 0.5000 0.5000 0.5000  8 Mo 2.71
Br1 0.5000 0.0000 0.0000  8 Mo 2.71

B) Material: Mo2SeBr
Method: DFT, PBEsol
State: relaxed

## Properties
magnetization	0.51	Bohr magnetons per cell

a = 4.5709 Å, b = 4.5709 Å, c = 4.5709 Å
α = 60.00°, β = 60.00°, γ = 60.00°
With the nearest neighbours (Å) after each atom.
Fractional coordinates of all 4 atoms:
Mo1 0.0000 0.0000 0.0000  4 Se 2.80, 4 Mo 2.80
Mo2 0.2500 0.2500 0.2500  4 Mo 2.80, 4 Br 2.80
Br1 0.5000 0.5000 0.5000  4 Se 2.80, 4 Mo 2.80
Se1 0.7500 0.7500 0.7500  4 Br 2.80, 4 Mo 2.80

Verdict on stability: B) comes out at the bottom.

A) Material: SrMoBr2
Method: DFT, PBEsol
State: relaxed

## Properties
magnetization	0.59	Bohr magnetons per cell

a = 3.5755 Å, b = 3.5755 Å, c = 9.6379 Å
α = 79.31°, β = 79.31°, γ = 60.00°
With the nearest neighbours (Å) after each atom.
Fractional coordinates of all 4 atoms:
Br1 0.7692 0.7692 0.6925  3 Mo 2.55
Br2 0.9912 0.9912 0.0263  3 Sr 2.93
Mo1 0.4888 0.4888 0.5337  3 Br 2.55
Sr1 0.2508 0.2508 0.2475  3 Br 2.93

B) Material: SrMoBr2
Method: DFT, PBEsol
State: relaxed

## Properties
magnetization	3.77	Bohr magnetons per cell

a = 3.8673 Å, b = 4.5977 Å, c = 6.3574 Å
α = 90.00°, β = 107.69°, γ = 90.00°
With the nearest neighbours (Å) after each atom.
Fractional coordinates of all 4 atoms:
Br1 0.0311 0.0000 0.9369  1 Mo 2.61
Br2 0.7108 0.5000 0.2976  2 Mo 2.62
Mo1 0.8157 0.0000 0.5060  3 Br 2.61-2.62
Sr1 0.4424 0.5000 0.7595  7 Br 3.19-3.40, 4 Mo 3.37

C) Material: SrMoBr2
Method: DFT, PBEsol
State: relaxed

## Properties
magnetization	1.55	Bohr magnetons per cell

a = 3.8587 Å, b = 3.8587 Å, c = 9.3320 Å
α = 78.07°, β = 78.07°, γ = 60.00°
With the nearest neighbours (Å) after each atom.
Fractional coordinates of all 4 atoms:
Br1 0.8843 0.8843 0.3472  3 Mo 2.62
Br2 0.1157 0.1157 0.6528  3 Mo 2.62
Mo1 0.5000 0.5000 0.5000  6 Br 2.62
Sr1 0.0000 0.0000 0.0000  2 Br 3.15

Verdict on stability: C) comes out at the bottom.

A) Material: TaMoBr
Method: DFT, PBEsol
State: relaxed

## Properties
magnetization	0.00	Bohr magnetons per cell

a = 2.9621 Å, b = 2.9621 Å, c = 6.7735 Å
α = 90.00°, β = 90.00°, γ = 120.00°
With the nearest neighbours (Å) after each atom.
Fractional coordinates of all 3 atoms:
Mo1 0.3333 0.6667 0.6717  3 Br 2.83, 3 Ta 2.92, 6 Mo 2.96
Br1 0.0000 0.0000 0.0052  3 Ta 2.75, 3 Mo 2.83, 6 Br 2.96
Ta1 0.6667 0.3333 0.3231  3 Br 2.75, 3 Mo 2.92, 6 Ta 2.96

B) Material: TaMoBr
Method: DFT, PBEsol
State: relaxed

## Properties
magnetization	0.00	Bohr magnetons per cell

a = 4.3672 Å, b = 4.3672 Å, c = 4.3672 Å
α = 60.00°, β = 60.00°, γ = 60.00°
With the nearest neighbours (Å) after each atom.
Fractional coordinates of all 3 atoms:
Mo1 0.5000 0.5000 0.5000  4 Ta 2.67
Ta1 0.2500 0.2500 0.2500  4 Br 2.67, 4 Mo 2.67
Br1 0.0000 0.0000 0.0000  4 Ta 2.67

Verdict on stability: B) comes out at the bottom.

A) Material: Tc2MoBr
Method: DFT, PBEsol
State: relaxed

## Properties
magnetization	0.00	Bohr magnetons per cell

a = 2.9200 Å, b = 4.0854 Å, c = 5.3064 Å
α = 90.00°, β = 104.50°, γ = 90.00°
With the nearest neighbours (Å) after each atom.
Fractional coordinates of all 4 atoms:
Mo1 0.5000 0.5000 0.5000  2 Br 2.65, 8 Tc 2.76-2.82, 2 Mo 2.92
Tc1 0.1252 0.0000 0.7370  1 Tc 2.44, 2 Br 2.56
Tc2 0.8748 0.0000 0.2630  1 Tc 2.44, 2 Br 2.56
Br1 0.5000 0.5000 0.0000  4 Tc 2.56, 2 Mo 2.65

B) Material: Tc2MoBr
Method: DFT, PBEsol
State: relaxed

## Properties
magnetization	0.00	Bohr magnetons per cell

a = 2.8426 Å, b = 2.8426 Å, c = 8.6853 Å
α = 90.00°, β = 90.00°, γ = 114.55°
With the nearest neighbours (Å) after each atom.
Fractional coordinates of all 4 atoms:
Tc1 0.0000 0.0000 0.2314  2 Mo 2.53, 2 Br 2.79
Tc2 0.0000 0.0000 0.7686  2 Mo 2.53, 2 Br 2.79
Br1 0.5000 0.5000 0.5000  4 Tc 2.79, 6 Br 2.84-3.07
Mo1 0.5000 0.5000 0.0000  4 Tc 2.53

Verdict on stability: A) comes out at the bottom.

A) Material: TlMo2Br
Method: DFT, PBEsol
State: relaxed

## Properties
magnetization	0.00	Bohr magnetons per cell

a = 3.1631 Å, b = 3.1631 Å, c = 8.0703 Å
α = 90.00°, β = 90.00°, γ = 90.00°
With the nearest neighbours (Å) after each atom.
Fractional coordinates of all 4 atoms:
Tl1 0.0000 0.0000 0.4516  5 Mo 3.00-3.35, 4 Tl 3.16
Mo1 0.5000 0.5000 0.2034  4 Mo 2.61
Mo2 0.0000 0.0000 0.0365  4 Mo 2.61, 4 Br 2.90
Br1 0.5000 0.5000 0.8085  5 Mo 2.90-3.19, 4 Br 3.16

B) Material: TlMo2Br
Method: DFT, PBEsol
State: relaxed

## Properties
magnetization	0.00	Bohr magnetons per cell

a = 4.6065 Å, b = 4.6065 Å, c = 4.6065 Å
α = 60.00°, β = 60.00°, γ = 60.00°
With the nearest neighbours (Å) after each atom.
Fractional coordinates of all 4 atoms:
Mo1 0.2500 0.2500 0.2500  4 Tl 2.82, 4 Br 2.82
Mo2 0.7500 0.7500 0.7500  4 Tl 2.82, 4 Br 2.82
Tl1 0.5000 0.5000 0.5000  8 Mo 2.82
Br1 0.0000 0.0000 0.0000  8 Mo 2.82

Verdict on stability: B) comes out at the bottom.

A) Material: Mo2WBr
Method: DFT, PBEsol
State: relaxed

## Properties
magnetization	0.00	Bohr magnetons per cell

a = 3.1137 Å, b = 3.7904 Å, c = 6.5642 Å
α = 90.00°, β = 90.00°, γ = 90.00°
With the nearest neighbours (Å) after each atom.
Fractional coordinates of all 4 atoms:
W1 0.0000 0.0000 0.4035  1 Mo 2.30
Br1 0.5000 0.5000 0.8148  5 Mo 2.71-2.91
Mo1 0.5000 0.5000 0.2282  4 Mo 2.71, 4 W 2.71, 1 Br 2.71
Mo2 0.0000 0.0000 0.0534  1 W 2.30

B) Material: Mo2WBr
Method: DFT, PBEsol
State: relaxed

## Properties
magnetization	0.00	Bohr magnetons per cell

a = 3.7268 Å, b = 3.7268 Å, c = 5.2778 Å
α = 110.67°, β = 110.67°, γ = 90.00°
With the nearest neighbours (Å) after each atom.
Fractional coordinates of all 4 atoms:
W1 0.5000 0.5000 0.0000  8 Mo 2.64-2.95, 4 Br 2.95
Mo1 0.7500 0.2500 0.5000  4 Br 2.64, 4 W 2.95, 4 Mo 2.95
Mo2 0.0000 0.0000 0.0000  4 W 2.64, 4 Br 2.95, 4 Mo 2.95
Br1 0.2500 0.7500 0.5000  8 Mo 2.64-2.95, 4 W 2.95

Verdict on stability: B) comes out at the bottom.

A) Material: MoWBr2
Method: DFT, PBEsol
State: relaxed

## Properties
magnetization	0.00	Bohr magnetons per cell

a = 4.1978 Å, b = 4.1978 Å, c = 4.9228 Å
α = 115.24°, β = 115.24°, γ = 90.00°
With the nearest neighbours (Å) after each atom.
Fractional coordinates of all 4 atoms:
Mo1 0.5000 0.5000 0.0000  4 W 2.87, 8 Br 2.87-2.97
Br1 0.0000 0.0000 0.0000  4 W 2.87, 4 Br 2.87, 4 Mo 2.97
Br2 0.7500 0.2500 0.5000  4 Br 2.87, 4 Mo 2.87, 4 W 2.97
W1 0.2500 0.7500 0.5000  8 Br 2.87-2.97, 4 Mo 2.87

B) Material: MoWBr2
Method: DFT, PBEsol
State: relaxed

## Properties
magnetization	0.00	Bohr magnetons per cell

a = 3.0479 Å, b = 3.0479 Å, c = 8.9661 Å
α = 80.21°, β = 80.21°, γ = 60.00°
With the nearest neighbours (Å) after each atom.
Fractional coordinates of all 4 atoms:
W1 0.0000 0.0000 0.0000  2 Br 2.48
Mo1 0.5000 0.5000 0.5000  6 Br 2.60
Br1 0.9058 0.9058 0.2825  1 W 2.48, 3 Mo 2.60
Br2 0.0942 0.0942 0.7175  1 W 2.48, 3 Mo 2.60

C) Material: MoWBr2
Method: DFT, PBEsol
State: relaxed

## Properties
magnetization	0.00	Bohr magnetons per cell

a = 3.1797 Å, b = 4.4715 Å, c = 4.4715 Å
α = 90.00°, β = 90.00°, γ = 90.00°
With the nearest neighbours (Å) after each atom.
Fractional coordinates of all 4 atoms:
Br1 0.0000 0.0000 0.5000  4 Mo 2.74, 4 W 2.74
Br2 0.0000 0.5000 0.0000  4 Mo 2.74, 4 W 2.74
Mo1 0.5000 0.5000 0.5000  8 Br 2.74
W1 0.5000 0.0000 0.0000  8 Br 2.74

Verdict on stability: A) comes out at the bottom.

A) Material: YMoBr2
Method: DFT, PBEsol
State: relaxed

## Properties
magnetization	2.67	Bohr magnetons per cell

a = 3.9534 Å, b = 3.9534 Å, c = 6.1487 Å
α = 108.75°, β = 108.75°, γ = 90.00°
With the nearest neighbours (Å) after each atom.
Fractional coordinates of all 4 atoms:
Br1 0.7500 0.2500 0.5000  4 Y 2.80
Br2 0.0000 0.0000 0.0000  4 Mo 2.80
Y1 0.2500 0.7500 0.5000  4 Br 2.80
Mo1 0.5000 0.5000 0.0000  4 Br 2.80

B) Material: YMoBr2
Method: DFT, PBEsol
State: relaxed

## Properties
magnetization	0.00	Bohr magnetons per cell

a = 3.2708 Å, b = 3.2708 Å, c = 9.4438 Å
α = 80.03°, β = 80.03°, γ = 60.00°
With the nearest neighbours (Å) after each atom.
Fractional coordinates of all 4 atoms:
Br1 0.9101 0.9101 0.2696  1 Mo 2.49
Br2 0.0899 0.0899 0.7304  1 Mo 2.49
Mo1 0.0000 0.0000 0.0000  2 Br 2.49
Y1 0.5000 0.5000 0.5000  6 Br 2.85

C) Material: YMoBr2
Method: DFT, PBEsol
State: relaxed

## Properties
magnetization	0.00	Bohr magnetons per cell

a = 3.2225 Å, b = 3.3891 Å, c = 8.9275 Å
α = 90.00°, β = 90.00°, γ = 118.39°
With the nearest neighbours (Å) after each atom.
Fractional coordinates of all 4 atoms:
Br1 0.0000 0.0000 0.2739  2 Mo 2.58
Br2 0.0000 0.0000 0.7261  2 Mo 2.58
Mo1 0.5000 0.0000 0.5000  4 Br 2.58
Y1 0.5000 0.0000 0.0000  4 Br 2.93, 2 Y 3.22

Verdict on stability: A) comes out at the bottom.

A) Material: YMo2Br
Method: DFT, PBEsol
State: relaxed

## Properties
magnetization	0.00	Bohr magnetons per cell

a = 3.0204 Å, b = 5.2181 Å, c = 5.4480 Å
α = 118.61°, β = 90.00°, γ = 90.00°
With the nearest neighbours (Å) after each atom.
Fractional coordinates of all 4 atoms:
Mo1 0.0000 0.5000 0.5000  2 Mo 2.61
Mo2 0.0000 0.0000 0.5000  2 Mo 2.61
Br1 0.5000 0.5000 0.0000  2 Y 2.61
Y1 0.5000 0.0000 0.0000  2 Br 2.61

B) Material: YMo2Br
Method: DFT, PBEsol
State: relaxed

## Properties
magnetization	0.00	Bohr magnetons per cell

a = 2.9801 Å, b = 2.9801 Å, c = 9.0457 Å
α = 90.00°, β = 90.00°, γ = 110.56°
With the nearest neighbours (Å) after each atom.
Fractional coordinates of all 4 atoms:
Y1 0.5000 0.5000 0.5000  4 Mo 2.95, 4 Y 2.98
Br1 0.5000 0.5000 0.0000  4 Mo 2.70, 4 Br 2.98
Mo1 0.0000 0.0000 0.7673  2 Br 2.70, 2 Y 2.95, 4 Mo 2.98
Mo2 0.0000 0.0000 0.2327  2 Br 2.70, 2 Y 2.95, 4 Mo 2.98

Verdict on stability: B) comes out at the bottom.

A) Material: ZrMoBr2
Method: DFT, PBEsol
State: relaxed

## Properties
magnetization	0.00	Bohr magnetons per cell

a = 3.2662 Å, b = 5.7881 Å, c = 5.5361 Å
α = 94.13°, β = 107.16°, γ = 90.00°
With the nearest neighbours (Å) after each atom.
Fractional coordinates of all 4 atoms:
Br1 0.0386 0.1715 0.0772  2 Mo 2.60, 1 Zr 2.78
Br2 0.2738 0.7554 0.5476  1 Mo 2.53
Mo1 0.4118 0.4175 0.8237  3 Br 2.53-2.60, 2 Zr 2.59
Zr1 0.7757 0.1555 0.5515  2 Mo 2.59, 3 Br 2.78-2.83

B) Material: ZrMoBr2
Method: DFT, PBEsol
State: relaxed

## Properties
magnetization	1.62	Bohr magnetons per cell

a = 4.8140 Å, b = 4.8140 Å, c = 4.8140 Å
α = 60.00°, β = 60.00°, γ = 60.00°
With the nearest neighbours (Å) after each atom.
Fractional coordinates of all 4 atoms:
Mo1 0.5000 0.5000 0.5000  4 Br 2.95, 4 Zr 2.95
Br1 0.7500 0.7500 0.7500  4 Mo 2.95, 4 Br 2.95
Br2 0.0000 0.0000 0.0000  4 Zr 2.95, 4 Br 2.95
Zr1 0.2500 0.2500 0.2500  4 Mo 2.95, 4 Br 2.95

Verdict on stability: B) comes out at the bottom.

A) Material: PbSe2BrN
Method: DFT, PBEsol
State: relaxed

## Properties
magnetization	4.46	Bohr magnetons per cell

a = 5.4717 Å, b = 5.4717 Å, c = 5.7355 Å
α = 90.00°, β = 90.00°, γ = 90.00°
With the nearest neighbours (Å) after each atom.
Fractional coordinates of all 5 atoms:
Br1 0.0000 0.0000 0.5000  2 Pb 2.87
Pb1 0.0000 0.0000 0.0000  4 Se 2.74, 2 Br 2.87
N1 0.5000 0.5000 0.5000  4 Br 3.87, 8 Se 3.96
Se1 0.0000 0.5000 0.0000  2 Pb 2.74
Se2 0.5000 0.0000 0.0000  2 Pb 2.74

B) Material: PbSe2BrN
Method: DFT, PBEsol
State: relaxed

## Properties
magnetization	0.33	Bohr magnetons per cell

a = 3.8159 Å, b = 5.3315 Å, c = 5.3315 Å
α = 90.00°, β = 90.00°, γ = 90.00°
With the nearest neighbours (Å) after each atom.
Fractional coordinates of all 5 atoms:
Se1 0.0000 0.5000 0.0000  2 Br 2.67
Se2 0.0000 0.0000 0.5000  2 Br 2.67
Pb1 0.5000 0.5000 0.5000  8 Se 3.28
N1 0.5000 0.0000 0.0000  2 Br 1.91
Br1 0.0000 0.0000 0.0000  2 N 1.91

Verdict on stability: A) comes out at the bottom.